[1]
A geometry-optimized Na2SmZnBi2 structure. Source: Alexandria, functional GGA-PBE.

Cell and atoms, written as POSCAR:
```
Na2SmZnBi2
1.0
4.854 0.000 0.000
0.000 9.382 0.000
0.000 0.000 7.474
Na Sm Zn Bi
4 2 2 4
Direct
0.000 0.059 0.000
0.000 0.941 0.500
0.500 0.146 0.306
0.500 0.854 0.806
0.500 0.484 0.990
0.500 0.516 0.490
0.000 0.337 0.656
0.000 0.663 0.156
0.000 0.356 0.247
0.000 0.644 0.747
0.500 0.192 0.738
0.500 0.808 0.238
```

Computed properties:
**Density**: 6631 kg/m³
**DFT total energy**: -37.81 eV per cell
**Magnetic moment**: 0.00 μB/f.u.
**Energy of formation from the pure elements**: -418.3 meV per atom

[2]
A geometry-optimized MoPN3 structure. Source: Alexandria, functional GGA-PBE.

Cell and atoms, written as POSCAR:
```
MoPN3
1.0
3.498 0.000 0.000
0.000 3.498 0.000
0.000 0.000 3.498
Mo P N
1 1 3
Direct
0.000 0.000 0.000
0.500 0.500 0.500
0.000 0.500 0.500
0.500 0.000 0.500
0.500 0.500 0.000
```

Computed properties:
**Density**: 6555 kg/m³
**DFT total energy**: -37.26 eV per cell
**Magnetic moment**: 1.47 μB/f.u.
**Raw formation energy**: 792 meV per atom

[3]
A geometry-optimized DyPu2Hg3 structure. Source: Alexandria, functional GGA-PBE.

Cell and atoms, written as POSCAR:
```
DyPu2Hg3
1.0
3.702 0.000 0.000
0.000 3.702 0.000
0.000 0.000 11.519
Dy Pu Hg
1 2 3
Direct
0.000 0.000 0.000
0.000 0.000 0.330
0.000 0.000 0.670
0.500 0.500 0.157
0.500 0.500 0.500
0.500 0.500 0.843
```

Computed properties:
**Density**: 13176 kg/m³
**DFT total energy**: -35.49 eV per cell
**Magnetic moment**: 11.77 μB/f.u.
**Energy of formation from the pure elements**: -219.1 meV per atom

Question: What is the formula in the first record?
Answer: Na2SmZnBi2